VASP calculation (PBE) on crystalline Ba5ReN6 at its relaxed geometry.

Geometry as POSCAR:
```
Ba5ReN6
1.0
3.261 -5.950 0.000
3.261 5.950 0.000
-1.915 0.000 6.136
Ba Re N
5 1 6
direct
0.000 0.000 0.000
0.163 0.837 0.500
0.347 0.653 0.000
0.653 0.347 0.000
0.837 0.163 0.500
0.500 0.500 0.500
0.195 0.434 0.314
0.290 0.290 0.723
0.434 0.195 0.314
0.566 0.805 0.686
0.710 0.710 0.277
0.805 0.566 0.686
```

As for the electronic total energy: -74.5 eV/f.u.


VASP calculation (PBE) on crystalline BaReN2 at its relaxed geometry.

Geometry as POSCAR:
```
BaReN2
1.0
3.758 0.000 0.000
-1.879 3.255 0.000
0.000 0.000 20.547
Ba Re N
3 3 6
direct
0.000 0.000 0.000
0.333 0.667 0.667
0.667 0.333 0.333
0.000 0.000 0.500
0.333 0.667 0.167
0.667 0.333 0.833
0.000 0.000 0.411
0.000 0.000 0.589
0.333 0.667 0.078
0.333 0.667 0.256
0.667 0.333 0.744
0.667 0.333 0.922
```

The value obtained for the polymorph energy (0 for the lowest one) is 0.896 eV per atom. As for the electronic total energy: -28.8 eV/f.u.


VASP calculation (PBE) on crystalline Ba4ReN4 at its relaxed geometry.

Geometry as POSCAR:
```
Ba4ReN4
1.0
7.302 0.000 0.000
0.000 7.302 0.000
0.000 0.000 9.022
Ba Re N
8 2 8
direct
0.015 0.250 0.074
0.250 0.015 0.574
0.250 0.485 0.574
0.485 0.250 0.074
0.515 0.750 0.926
0.750 0.515 0.426
0.750 0.985 0.426
0.985 0.750 0.926
0.250 0.750 0.250
0.750 0.250 0.750
0.049 0.750 0.377
0.250 0.549 0.123
0.250 0.951 0.123
0.451 0.750 0.377
0.549 0.250 0.623
0.750 0.049 0.877
0.750 0.451 0.877
0.951 0.250 0.623
```

As for the electronic total energy: -57.6 eV/f.u.


VASP calculation (PBE) on crystalline BaRe3N at its relaxed geometry.

Geometry as POSCAR:
```
BaRe3N
1.0
4.357 0.000 0.000
0.000 4.357 0.000
0.000 0.000 4.357
Ba Re N
1 3 1
direct
0.000 0.000 0.000
0.000 0.500 0.500
0.500 0.000 0.500
0.500 0.500 0.000
0.500 0.500 0.500
```

The value obtained for the polymorph energy (0 for the lowest one) is 0.000 eV per atom. As for the electronic total energy: -41.1 eV/f.u.


VASP calculation (PBE) on crystalline BaRe3N at its relaxed geometry.

Geometry as POSCAR:
```
BaRe3N
1.0
5.039 0.000 0.000
0.000 5.039 0.000
0.000 0.000 5.039
Ba Re N
1 3 1
direct
0.000 0.000 0.000
0.000 0.000 0.500
0.000 0.500 0.000
0.500 0.000 0.000
0.500 0.500 0.500
```

The value obtained for the polymorph energy (0 for the lowest one) is 3.930 eV per atom. As for the electronic total energy: -21.5 eV/f.u.


VASP calculation (PBE) on crystalline Ba2ReN3 at its relaxed geometry.

Geometry as POSCAR:
```
Ba2ReN3
1.0
3.006 -5.944 0.000
3.006 5.944 0.000
0.000 0.000 13.420
Ba Re N
8 4 12
direct
0.066 0.934 0.867
0.140 0.860 0.418
0.360 0.640 0.918
0.434 0.566 0.367
0.566 0.434 0.633
0.640 0.360 0.082
0.860 0.140 0.582
0.934 0.066 0.133
0.239 0.761 0.663
0.261 0.739 0.163
0.739 0.261 0.837
0.761 0.239 0.337
0.013 0.487 0.750
0.090 0.910 0.623
0.162 0.838 0.053
0.338 0.662 0.553
0.410 0.590 0.123
0.487 0.013 0.250
0.513 0.987 0.750
0.590 0.410 0.877
0.662 0.338 0.447
0.838 0.162 0.947
0.910 0.090 0.377
0.987 0.513 0.250
```

The value obtained for the polymorph energy (0 for the lowest one) is 0.000 eV per atom. As for the electronic total energy: -45.0 eV/f.u.


Number 1: ΔE_f (raw) -208 meV per atom. Number 2: ΔE_f (raw) 554 meV per atom. Number 3: ΔE_f (raw) -467 meV per atom. Number 4: ΔE_f (raw) 1289 meV per atom. Number 5: ΔE_f (raw) 5219 meV per atom. Number 6: ΔE_f (raw) -615 meV per atom.